No. 1
Here is a crystal of LiRe2Ir relaxed with PBEsol from Alexandria. Energies are from SCAN.

## Properties
energy of formation from the pure elements: 4 kJ per mole of atoms

abc: 3.0031 3.0031 5.8949
angles: 90.00 90.00 90.00
Closest atoms and distances in Å follow each position.
Fractional positions:
Li (0.5000, 0.5000, 0.7445)  4 Ir 2.47, 4 Re 2.56
Re (0.5000, 0.5000, 0.2360)  4 Re 2.58, 4 Ir 2.75
Re (0.0000, 0.0000, 0.9878)  4 Li 2.56, 4 Re 2.58, 1 Ir 2.69
Ir (0.0000, 0.0000, 0.5317)  4 Li 2.47, 5 Re 2.69-2.75

=====

No. 2
Here is a crystal of K2TeBr relaxed with PBEsol from Alexandria. Energies are from SCAN.

## Properties
formation energy without anion corrections: -1286 meV/atom
E above lowest polymorph: 0.00 eV per formula unit

abc: 3.4427 6.0975 6.0975
angles: 90.00 90.00 90.00
Closest atoms and distances in Å follow each position.
Fractional positions:
K (0.0000, 0.0000, 0.5000)  2 K 3.44, 4 Br 3.50, 4 Te 3.50
K (0.0000, 0.5000, 0.0000)  2 K 3.44, 4 Te 3.50, 4 Br 3.50
Br (0.5000, 0.0000, 0.0000)  2 Br 3.44, 8 K 3.50
Te (0.5000, 0.5000, 0.5000)  2 Te 3.44, 8 K 3.50

=====

No. 3
Here is a crystal of LiDy2In relaxed with PBEsol from Alexandria. Energies are from SCAN.

## Properties
energy of formation from the pure elements: -34 kJ per mole of atoms

abc: 5.1931 5.1931 5.1931
angles: 60.00 60.00 60.00
Closest atoms and distances in Å follow each position.
Fractional positions:
Li (0.0000, 0.0000, 0.0000)  8 Dy 3.18
In (0.5000, 0.5000, 0.5000)  8 Dy 3.18
Dy (0.7500, 0.7500, 0.7500)  4 In 3.18, 4 Li 3.18
Dy (0.2500, 0.2500, 0.2500)  4 In 3.18, 4 Li 3.18

=====

No. 4
Here is a crystal of Zn3NiPd relaxed with PBEsol from Alexandria. Energies are from SCAN.

## Properties
energy of formation from the pure elements: 31 kJ per mole of atoms

abc: 4.3542 4.3542 4.3542
angles: 90.00 90.00 90.00
Closest atoms and distances in Å follow each position.
Fractional positions:
Zn (0.0000, 0.0000, 0.5000)  2 Ni 2.18
Zn (0.0000, 0.5000, 0.0000)  2 Ni 2.18
Zn (0.5000, 0.0000, 0.0000)  2 Ni 2.18
Ni (0.0000, 0.0000, 0.0000)  6 Zn 2.18
Pd (0.5000, 0.5000, 0.5000)  12 Zn 3.08

=====

No. 5
Here is a crystal of TaTc2Ir relaxed with PBEsol from Alexandria. Energies are from SCAN.

## Properties
energy of formation from the pure elements: -15 kJ per mole of atoms
E above lowest polymorph: 0.57 eV per formula unit

abc: 2.7028 4.0801 5.4839
angles: 90.00 98.62 90.00
Closest atoms and distances in Å follow each position.
Fractional positions:
Tc (0.0758, 0.0000, 0.2374)  3 Tc 2.57-2.70, 2 Ta 2.66, 4 Ir 2.76-2.77
Tc (0.9242, 0.0000, 0.7626)  3 Tc 2.57-2.70, 2 Ta 2.66, 4 Ir 2.76-2.77
Ta (0.5000, 0.5000, 0.5000)  4 Tc 2.66, 2 Ta 2.70, 2 Ir 2.74
Ir (0.5000, 0.5000, 0.0000)  2 Ir 2.70, 2 Ta 2.74, 8 Tc 2.76-2.77

=====

No. 6
Here is a crystal of KTl2Au relaxed with PBEsol from Alexandria. Energies are from SCAN.

## Properties
energy of formation from the pure elements: -18 kJ per mole of atoms

abc: 5.4411 3.4499 6.6404
angles: 90.00 114.19 90.00
Closest atoms and distances in Å follow each position.
Fractional positions:
Tl (0.4591, 0.5000, 0.9182)  2 Au 2.89
Tl (0.0368, 0.0000, 0.0737)  1 Au 2.79
K (0.7470, 0.5000, 0.4940)  4 Au 3.23, 2 K 3.45, 1 Tl 3.49
Au (0.2673, 0.0000, 0.5345)  3 Tl 2.79-2.89

=====

No. 7
Here is a crystal of PRhS2 relaxed with PBEsol from Alexandria. Energies are from SCAN.

## Properties
formation energy without anion corrections: 245 meV/atom

abc: 3.2171 3.2171 7.3302
angles: 77.32 77.32 60.00
Closest atoms and distances in Å follow each position.
Fractional positions:
S (0.8977, 0.8977, 0.3069)  1 Rh 2.18, 3 P 2.31
S (0.1023, 0.1023, 0.6931)  1 Rh 2.18, 3 P 2.31
P (0.5000, 0.5000, 0.5000)  6 S 2.31
Rh (0.0000, 0.0000, 0.0000)  2 S 2.18

=====

No. 8
Here is a crystal of Tl2ZnPb relaxed with PBEsol from Alexandria. Energies are from SCAN.

## Properties
energy of formation from the pure elements: 13 kJ per mole of atoms
E above lowest polymorph: 0.07 eV per formula unit

abc: 3.4616 3.4616 10.0533
angles: 80.09 80.09 60.00
Closest atoms and distances in Å follow each position.
Fractional positions:
Tl (0.0018, 0.0018, 0.9946)  9 Tl 3.35-3.46, 3 Pb 3.44
Tl (0.7593, 0.7593, 0.7220)  3 Zn 2.93
Pb (0.2405, 0.2405, 0.2784)  3 Zn 3.00
Zn (0.4984, 0.4984, 0.5049)  3 Tl 2.93, 3 Pb 3.00

=====

No. 9
Here is a crystal of NiTe2AuN relaxed with PBEsol from Alexandria. Energies are from SCAN.

## Properties
formation energy without anion corrections: 456 meV/atom

abc: 3.3629 5.2520 5.2520
angles: 90.00 90.00 90.00
Closest atoms and distances in Å follow each position.
Fractional positions:
Te (0.0000, 0.0000, 0.5000)  2 Ni 2.63
Te (0.0000, 0.5000, 0.0000)  2 Ni 2.63
Au (0.5000, 0.5000, 0.5000)  8 Te 3.12, 2 Au 3.36
Ni (0.0000, 0.0000, 0.0000)  2 N 1.68
N (0.5000, 0.0000, 0.0000)  2 Ni 1.68

=====

No. 10
Here is a crystal of BaTiN2 relaxed with PBEsol from Alexandria. Energies are from SCAN.

## Properties
formation energy without anion corrections: -1063 meV/atom

abc: 3.2329 3.2329 12.1505
angles: 90.00 90.00 120.00
Closest atoms and distances in Å follow each position.
Fractional positions:
Ba (0.6667, 0.3333, 0.2500)  6 N 2.71
Ba (0.3333, 0.6667, 0.7500)  6 N 2.71
N (0.6667, 0.3333, 0.9120)  3 Ti 2.15
N (0.3333, 0.6667, 0.4120)  3 Ti 2.15
N (0.6667, 0.3333, 0.5880)  3 Ti 2.15
N (0.3333, 0.6667, 0.0880)  3 Ti 2.15
Ti (0.0000, 0.0000, 0.5000)  6 N 2.15
Ti (0.0000, 0.0000, 0.0000)  6 N 2.15

=====

No. 11
Here is a crystal of Ba2LiCl2 relaxed with PBEsol from Alexandria. Energies are from SCAN.

## Properties
formation energy without anion corrections: -1582 meV/atom

abc: 5.0196 5.0196 8.6534
angles: 106.86 106.86 90.00
Closest atoms and distances in Å follow each position.
Fractional positions:
Ba (0.6365, 0.6365, 0.2730)  4 Cl 3.08
Ba (0.3635, 0.3635, 0.7270)  4 Cl 3.08
Li (0.0000, 0.0000, 0.0000)  8 Ba 4.15
Cl (0.2500, 0.7500, 0.5000)  4 Ba 3.08
Cl (0.7500, 0.2500, 0.5000)  4 Ba 3.08

=====

No. 12
Here is a crystal of MgMn2Ni relaxed with PBEsol from Alexandria. Energies are from SCAN.

## Properties
energy of formation from the pure elements: -7 kJ per mole of atoms

abc: 2.8621 2.8621 6.0438
angles: 90.00 90.00 90.00
Closest atoms and distances in Å follow each position.
Fractional positions:
Mn (0.5000, 0.5000, 0.2379)  4 Mn 2.34, 4 Ni 2.47
Mn (0.0000, 0.0000, 0.0450)  4 Mn 2.34, 1 Ni 2.59
Ni (0.0000, 0.0000, 0.4729)  5 Mn 2.47-2.59, 4 Mg 2.60
Mg (0.5000, 0.5000, 0.7442)  4 Ni 2.60, 4 Mn 2.72, 4 Mg 2.86